La5PrZn4: optimized geometry, PBE.

Cell lengths 3.768, 3.768, 20.210 Å; angles 90.00, 90.00, 90.00 degrees
Positions (direct):
Zn 0.000 0.000 0.221
Zn 0.000 0.000 0.779
Zn 0.000 0.000 0.592
Zn 0.000 0.000 0.408
Pr 0.000 0.000 0.000
La 0.500 0.500 0.685
La 0.500 0.500 0.500
La 0.500 0.500 0.315
La 0.500 0.500 0.869
La 0.500 0.500 0.131

Values from the calculation:
The calculation puts the formation energy at -2.48 eV/f.u. As for the symmetry: P4/mmm (123). The value obtained for the magnetic moment is 0.00 μB per cell.



Ba2Li2Ag: optimized geometry, PBE.

Cell lengths 7.930, 7.930, 5.373 Å; angles 90.00, 90.00, 90.00 degrees
Positions (direct):
Li 0.629 0.129 0.000
Li 0.371 0.871 0.000
Li 0.871 0.629 0.000
Li 0.129 0.371 0.000
Ag 0.500 0.500 0.000
Ag 0.000 0.000 0.000
Ba 0.813 0.313 0.500
Ba 0.187 0.687 0.500
Ba 0.313 0.187 0.500
Ba 0.687 0.813 0.500

Values from the calculation:
The calculation puts the formation energy at 0.12 eV/f.u. As for the symmetry: P4/mbm (127). The calculation puts the energy above the most stable polymorph in this dataset at 0.098 eV per atom. The value obtained for the magnetic moment is 0.00 μB per cell.



YHfPS2: optimized geometry, PBE.

Cell lengths 4.816, 4.816, 5.088 Å; angles 90.00, 90.00, 90.00 degrees
Positions (direct):
S 0.500 0.000 0.000
S 0.000 0.500 0.000
P 0.000 0.000 0.500
Y 0.500 0.500 0.500
Hf 0.000 0.000 0.000

Values from the calculation:
As for the symmetry: P4/mmm (123). The calculation puts the energy above the most stable polymorph in this dataset at 0.000 eV per atom. The value obtained for the magnetic moment is 0.00 μB per cell.



RbNaMn2Cl6: optimized geometry, PBE.

Cell lengths 7.033, 9.503, 9.503 Å; angles 91.05, 84.26, 84.26 degrees
Last column: magnetic moment on the atom in μB.
Positions (direct):
Cl 0.104 0.596 0.177  0.06
Cl 0.604 0.177 0.596  0.06
Cl 0.185 0.980 0.767  0.05
Cl 0.815 0.020 0.233  0.05
Cl 0.685 0.767 0.980  0.05
Cl 0.600 0.417 0.280  0.07
Cl 0.315 0.233 0.020  0.05
Cl 0.400 0.583 0.720  0.07
Cl 0.900 0.720 0.583  0.07
Cl 0.396 0.823 0.404  0.06
Cl 0.896 0.404 0.823  0.06
Cl 0.100 0.280 0.417  0.07
Mn 0.278 0.385 0.219  4.38
Mn 0.722 0.615 0.781  4.38
Mn 0.778 0.219 0.385  4.38
Mn 0.222 0.781 0.615  4.38
Rb 0.750 0.101 0.899  0.00
Rb 0.250 0.899 0.101  0.00
Na 0.250 0.288 0.712  0.00
Na 0.750 0.712 0.288  0.00

Values from the calculation:
As for the symmetry: C2/c (15). The value obtained for the magnetic moment is 20.00 μB per cell.



E (computed, eV per atom): -3.699, -2.082, -7.007, -4.564